Compound: AlHg2W
Source: Alexandria via LeMat-Bulk
Functional: PBE-GGA
Structure: relaxed

ρ ... 13.66 g cm⁻³
Spin magnetization ... 0.001 μB/f.u.
ΔH_f (0 K) ... 690 meV/atom
Density of states at the Fermi level ... 3.1 states/eV per cell

Unit cell a=3.0490 b=4.2516 c=5.7395 alpha=90.00 beta=90.00 gamma=90.00
Closest atoms and distances in Å follow each position.
Space group Pmmm (No. 47)
Inequivalent atoms, fractional coordinates:
Al (0.0000, 0.0000, 0.0000) x1  2 W 2.87, 8 Hg 2.99, 2 Al 3.05
Hg (0.5000, 0.5000, 0.2514) x2  4 Hg 2.85-3.05, 4 W 2.98, 4 Al 2.99
W (0.0000, 0.0000, 0.5000) x1  2 Al 2.87, 8 Hg 2.98, 2 W 3.05